<one>
This record from Alexandria via LeMat-Bulk describes crystalline LaOsAu at its relaxed geometry. The functional is GGA-PBE.

Unit cell a=4.7997 b=4.7997 c=4.7997 alpha=60.00 beta=60.00 gamma=60.00
Site moments in Bohr magnetons follow the coordinates.
Fractional coordinates of all 3 atoms:
Au 0.5000 0.5000 0.5000  0.01
La 0.7500 0.7500 0.7500  -0.01
Os 0.0000 0.0000 0.0000  0.47

Calculated values
spin magnetization	0.1632	μB/atom
volume	26.06	Å³ per atom

<two>
This record from Alexandria via LeMat-Bulk describes crystalline LaOsAu at its relaxed geometry. The functional is GGA-PBE.

Unit cell a=2.9468 b=2.9468 c=7.8901 alpha=90.00 beta=90.00 gamma=120.00
Site moments in Bohr magnetons follow the coordinates.
Fractional coordinates of all 3 atoms:
Os 0.3333 0.6667 0.6786  0.23
La 0.6667 0.3333 0.3433  0.00
Au 0.0000 0.0000 0.9781  0.01

Calculated values
spin magnetization	0.0791	μB/atom
volume	19.78	Å³ per atom

In terms of stability, <two> leads; the second structure lies 270 meV per atom higher.